(1)
SCAN Fe2HPbI, single point on PBEsol structure; raw total energy = -29.08 eV per atom; space-group type = P4/mmm, No. 123
1.0
5.077 0.000 0.000
0.000 5.077 0.000
0.000 0.000 6.275
Fe H Pb I
2 1 1 1
direct
0.000 0.500 0.000
0.500 0.000 0.000
0.000 0.000 0.500
0.500 0.500 0.000
0.500 0.500 0.500

=====

(2)
SCAN InFeH2, single point on PBEsol structure; raw total energy = -13.63 eV per atom; space-group type = Fm-3m, No. 225
1.0
0.000 2.675 2.675
2.675 0.000 2.675
2.675 2.675 0.000
In Fe H
1 1 2
direct
0.000 0.000 0.000
0.500 0.500 0.500
0.250 0.250 0.250
0.750 0.750 0.750

=====

(3)
SCAN Fe2HIr, single point on PBEsol structure; raw total energy = -27.07 eV per atom; space-group type = Fm-3m, No. 225
1.0
0.000 2.819 2.819
2.819 0.000 2.819
2.819 2.819 0.000
Fe H Ir
2 1 1
direct
0.250 0.250 0.250
0.750 0.750 0.750
0.000 0.000 0.000
0.500 0.500 0.500

=====

(4)
SCAN RbFeH2Ir, single point on PBEsol structure; raw total energy = -22.68 eV per atom; space-group type = P4/mmm, No. 123
1.0
3.950 0.000 0.000
0.000 3.950 0.000
0.000 0.000 4.705
Rb Fe H Ir
1 1 2 1
direct
0.000 0.000 0.000
0.500 0.500 0.000
0.000 0.500 0.500
0.500 0.000 0.500
0.500 0.500 0.500